Entry 1:
# AcYNiPt GGA-PBE relaxed
data_AcYNiPt
_symmetry_space_group_name_H-M 'P 1'
_symmetry_Int_Tables_number 1
_cell_length_a 5.1067
_cell_length_b 5.1067
_cell_length_c 5.1067
_cell_angle_alpha 60.00
_cell_angle_beta 60.00
_cell_angle_gamma 60.00
loop_
_symmetry_equiv_pos_as_xyz
'x,y,z'
loop_
_atom_site_label
_atom_site_fract_x
_atom_site_fract_y
_atom_site_fract_z
Ac1 0.0000 0.0000 0.0000
Y1 0.5000 0.5000 0.5000
Ni1 0.7500 0.7500 0.7500
Pt1 0.2500 0.2500 0.2500
# * ρ: 10.05 g/cm3
# * crystal system: cubic
# * E_tot: -24.81 eV for the cell shown



Entry 2:
# Ce7HgPt2 GGA-PBE relaxed
data_Ce7HgPt2
_symmetry_space_group_name_H-M 'P 1'
_symmetry_Int_Tables_number 1
_cell_length_a 8.0564
_cell_length_b 8.0564
_cell_length_c 5.4114
_cell_angle_alpha 90.00
_cell_angle_beta 90.00
_cell_angle_gamma 114.58
loop_
_symmetry_equiv_pos_as_xyz
'x,y,z'
loop_
_atom_site_label
_atom_site_fract_x
_atom_site_fract_y
_atom_site_fract_z
Ce1 0.0000 0.0000 0.0000
Ce2 0.2195 0.7805 0.5000
Ce3 0.2288 0.4402 0.0000
Ce4 0.4402 0.2288 0.0000
Ce5 0.5598 0.7712 0.0000
Ce6 0.7712 0.5598 0.0000
Ce7 0.7805 0.2195 0.5000
Hg1 0.5000 0.5000 0.5000
Pt1 0.2022 0.7978 0.0000
Pt2 0.7978 0.2022 0.0000
# * ρ: 8.17 g/cm3
# * crystal system: orthorhombic
# * E_tot: -55.62 eV for the cell shown



Entry 3:
# BaSb3Pt3 GGA-PBE relaxed
data_BaSb3Pt3
_symmetry_space_group_name_H-M 'P 1'
_symmetry_Int_Tables_number 1
_cell_length_a 7.3783
_cell_length_b 7.3783
_cell_length_c 7.3783
_cell_angle_alpha 90.00
_cell_angle_beta 90.00
_cell_angle_gamma 90.00
loop_
_symmetry_equiv_pos_as_xyz
'x,y,z'
loop_
_atom_site_label
_atom_site_fract_x
_atom_site_fract_y
_atom_site_fract_z
Ba1 0.0000 0.0000 0.0000
Ba2 0.5000 0.5000 0.5000
Sb1 0.0000 0.2500 0.5000
Sb2 0.0000 0.7500 0.5000
Sb3 0.2500 0.5000 0.0000
Sb4 0.5000 0.0000 0.2500
Sb5 0.5000 0.0000 0.7500
Sb6 0.7500 0.5000 0.0000
Pt1 0.0000 0.5000 0.2500
Pt2 0.0000 0.5000 0.7500
Pt3 0.2500 0.0000 0.5000
Pt4 0.5000 0.2500 0.0000
Pt5 0.5000 0.7500 0.0000
Pt6 0.7500 0.0000 0.5000
# * ρ: 8.99 g/cm3
# * E above lowest polymorph: 0.000 eV per atom
# * crystal system: cubic



Entry 4:
# BaTl12Pb6 GGA-PBE relaxed
data_BaTl12Pb6
_symmetry_space_group_name_H-M 'P 1'
_symmetry_Int_Tables_number 1
_cell_length_a 9.3861
_cell_length_b 9.3861
_cell_length_c 9.3861
_cell_angle_alpha 109.47
_cell_angle_beta 109.47
_cell_angle_gamma 109.47
loop_
_symmetry_equiv_pos_as_xyz
'x,y,z'
loop_
_atom_site_label
_atom_site_fract_x
_atom_site_fract_y
_atom_site_fract_z
Ba1 0.0000 0.0000 0.0000
Tl1 0.0713 0.2634 0.8078
Tl2 0.1922 0.4556 0.2634
Tl3 0.1922 0.9287 0.7366
Tl4 0.2634 0.1922 0.4556
Tl5 0.2634 0.8078 0.0713
Tl6 0.4556 0.2634 0.1922
Tl7 0.5444 0.7366 0.8078
Tl8 0.7366 0.1922 0.9287
Tl9 0.7366 0.8078 0.5444
Tl10 0.8078 0.0713 0.2634
Tl11 0.8078 0.5444 0.7366
Tl12 0.9287 0.7366 0.1922
Pb1 0.1462 0.5000 0.6462
Pb2 0.3538 0.8538 0.5000
Pb3 0.5000 0.3538 0.8538
Pb4 0.5000 0.6462 0.1462
Pb5 0.6462 0.1462 0.5000
Pb6 0.8538 0.5000 0.3538
# * ρ: 10.00 g/cm3
# * crystal system: cubic
# * E_tot: -52.21 eV for the cell shown



Entry 5:
# Be4FeMo GGA-PBE relaxed
data_Be4FeMo
_symmetry_space_group_name_H-M 'P 1'
_symmetry_Int_Tables_number 1
_cell_length_a 4.2966
_cell_length_b 4.2966
_cell_length_c 4.2966
_cell_angle_alpha 60.00
_cell_angle_beta 60.00
_cell_angle_gamma 60.00
loop_
_symmetry_equiv_pos_as_xyz
'x,y,z'
loop_
_atom_site_label
_atom_site_fract_x
_atom_site_fract_y
_atom_site_fract_z
Be1 0.3761 0.3761 0.3761
Be2 0.3761 0.3761 0.8718
Be3 0.3761 0.8718 0.3761
Be4 0.8718 0.3761 0.3761
Fe1 0.0000 0.0000 0.0000
Mo1 0.7500 0.7500 0.7500
# * ρ: 5.56 g/cm3
# * crystal system: cubic
# * E_tot: -35.48 eV for the cell shown



Entry 6:
# Nd2P3PdPt12 GGA-PBE relaxed
data_Nd2P3PdPt12
_symmetry_space_group_name_H-M 'P 1'
_symmetry_Int_Tables_number 1
_cell_length_a 7.6814
_cell_length_b 7.6814
_cell_length_c 7.6814
_cell_angle_alpha 65.04
_cell_angle_beta 65.04
_cell_angle_gamma 65.04
loop_
_symmetry_equiv_pos_as_xyz
'x,y,z'
loop_
_atom_site_label
_atom_site_fract_x
_atom_site_fract_y
_atom_site_fract_z
Nd1 0.1112 0.1112 0.1112
Nd2 0.8888 0.8888 0.8888
P1 0.0000 0.5000 0.5000
P2 0.5000 0.0000 0.5000
P3 0.5000 0.5000 0.0000
Pd1 0.5000 0.5000 0.5000
Pt1 0.1193 0.6286 0.6286
Pt2 0.1556 0.1556 0.6039
Pt3 0.1556 0.6039 0.1556
Pt4 0.3714 0.3714 0.8807
Pt5 0.3714 0.8807 0.3714
Pt6 0.3961 0.8444 0.8444
Pt7 0.6039 0.1556 0.1556
Pt8 0.6286 0.1193 0.6286
Pt9 0.6286 0.6286 0.1193
Pt10 0.8444 0.3961 0.8444
Pt11 0.8444 0.8444 0.3961
Pt12 0.8807 0.3714 0.3714
# * ρ: 13.20 g/cm3
# * crystal system: trigonal
# * E_tot: -109.83 eV for the cell shown



Entry 7:
# Ac2TcBiO8 GGA-PBE relaxed
data_Ac2TcBiO8
_symmetry_space_group_name_H-M 'P 1'
_symmetry_Int_Tables_number 1
_cell_length_a 5.2924
_cell_length_b 5.3028
_cell_length_c 7.1878
_cell_angle_alpha 90.47
_cell_angle_beta 90.52
_cell_angle_gamma 91.35
loop_
_symmetry_equiv_pos_as_xyz
'x,y,z'
loop_
_atom_site_label
_atom_site_fract_x
_atom_site_fract_y
_atom_site_fract_z
Ac1 0.0321 0.0320 0.2571
Ac2 0.9679 0.9680 0.7429
Tc1 0.5000 0.5000 0.5000
Bi1 0.5000 0.5000 0.0000
O1 0.1961 0.2004 0.9791
O2 0.2458 0.2535 0.5292
O3 0.3088 0.6525 0.2980
O4 0.3528 0.6963 0.7017
O5 0.6472 0.3037 0.2983
O6 0.6912 0.3475 0.7020
O7 0.7542 0.7465 0.4708
O8 0.8039 0.7996 0.0209
# * ρ: 7.32 g/cm3
# * crystal system: triclinic
# * E_tot: -86.76 eV for the cell shown



Entry 8:
# Rb5Pt4 GGA-PBE relaxed
data_Rb5Pt4
_symmetry_space_group_name_H-M 'P 1'
_symmetry_Int_Tables_number 1
_cell_length_a 7.9344
_cell_length_b 7.9344
_cell_length_c 7.9344
_cell_angle_alpha 94.82
_cell_angle_beta 94.82
_cell_angle_gamma 146.30
loop_
_symmetry_equiv_pos_as_xyz
'x,y,z'
loop_
_atom_site_label
_atom_site_fract_x
_atom_site_fract_y
_atom_site_fract_z
Rb1 0.0000 0.0000 0.0000
Rb2 0.3232 0.3232 0.6464
Rb3 0.3232 0.6768 0.0000
Rb4 0.6768 0.3232 0.0000
Rb5 0.6768 0.6768 0.3536
Pt1 0.0000 0.3795 0.3795
Pt2 0.0000 0.6205 0.6205
Pt3 0.3795 0.0000 0.3795
Pt4 0.6205 0.0000 0.6205
# * ρ: 7.56 g/cm3
# * E above lowest polymorph: 0.201 eV per atom
# * crystal system: tetragonal



Entry 9:
# MgCd2In GGA-PBE relaxed
data_MgCd2In
_symmetry_space_group_name_H-M 'P 1'
_symmetry_Int_Tables_number 1
_cell_length_a 5.5634
_cell_length_b 5.5634
_cell_length_c 5.5634
_cell_angle_alpha 132.44
_cell_angle_beta 132.44
_cell_angle_gamma 69.53
loop_
_symmetry_equiv_pos_as_xyz
'x,y,z'
loop_
_atom_site_label
_atom_site_fract_x
_atom_site_fract_y
_atom_site_fract_z
Mg1 0.0000 0.0000 0.0000
Cd1 0.5000 0.5000 0.0000
Cd2 0.7500 0.2500 0.5000
In1 0.2500 0.7500 0.5000
# * ρ: 6.57 g/cm3
# * crystal system: tetragonal
# * E_tot: -6.34 eV for the cell shown



Entry 10:
# Ta2PbSe GGA-PBE relaxed
data_Ta2PbSe
_symmetry_space_group_name_H-M 'P 1'
_symmetry_Int_Tables_number 1
_cell_length_a 5.3368
_cell_length_b 5.3368
_cell_length_c 5.3368
_cell_angle_alpha 132.78
_cell_angle_beta 132.78
_cell_angle_gamma 69.00
loop_
_symmetry_equiv_pos_as_xyz
'x,y,z'
loop_
_atom_site_label
_atom_site_fract_x
_atom_site_fract_y
_atom_site_fract_z
Ta1 0.0000 0.0000 0.0000
Ta2 0.7500 0.2500 0.5000
Pb1 0.2500 0.7500 0.5000
Se1 0.5000 0.5000 0.0000
# * ρ: 13.39 g/cm3
# * E above lowest polymorph: 0.653 eV per atom
# * crystal system: tetragonal



Entry 11:
# NdY8Ho4 GGA-PBE relaxed
data_NdY8Ho4
_symmetry_space_group_name_H-M 'P 1'
_symmetry_Int_Tables_number 1
_cell_length_a 10.0157
_cell_length_b 10.0157
_cell_length_c 10.0157
_cell_angle_alpha 42.82
_cell_angle_beta 42.82
_cell_angle_gamma 42.82
loop_
_symmetry_equiv_pos_as_xyz
'x,y,z'
loop_
_atom_site_label
_atom_site_fract_x
_atom_site_fract_y
_atom_site_fract_z
Nd1 0.0000 0.0000 0.0000
Y1 0.2498 0.2498 0.6968
Y2 0.2498 0.6968 0.2498
Y3 0.2821 0.2821 0.2821
Y4 0.3032 0.7502 0.7502
Y5 0.6968 0.2498 0.2498
Y6 0.7179 0.7179 0.7179
Y7 0.7502 0.3032 0.7502
Y8 0.7502 0.7502 0.3032
Ho1 0.0000 0.0000 0.5000
Ho2 0.0000 0.5000 0.0000
Ho3 0.5000 0.0000 0.0000
Ho4 0.5000 0.5000 0.5000
# * ρ: 5.98 g/cm3
# * crystal system: trigonal
# * E_tot: -72.15 eV for the cell shown



Entry 12:
# SrTa2Se GGA-PBE relaxed
data_SrTa2Se
_symmetry_space_group_name_H-M 'P 1'
_symmetry_Int_Tables_number 1
_cell_length_a 4.7774
_cell_length_b 4.7774
_cell_length_c 6.6914
_cell_angle_alpha 100.90
_cell_angle_beta 100.90
_cell_angle_gamma 40.84
loop_
_symmetry_equiv_pos_as_xyz
'x,y,z'
loop_
_atom_site_label
_atom_site_fract_x
_atom_site_fract_y
_atom_site_fract_z
Sr1 0.0000 0.0000 0.0000
Ta1 0.5335 0.5335 0.5187
Ta2 0.7920 0.7920 0.3597
Se1 0.2655 0.2655 0.6769
# * ρ: 8.97 g/cm3
# * crystal system: monoclinic
# * E_tot: -28.27 eV for the cell shown



Entry 13:
# RbTiTl3 GGA-PBE relaxed
data_RbTiTl3
_symmetry_space_group_name_H-M 'P 1'
_symmetry_Int_Tables_number 1
_cell_length_a 6.0071
_cell_length_b 6.0071
_cell_length_c 6.0071
_cell_angle_alpha 90.00
_cell_angle_beta 90.00
_cell_angle_gamma 90.00
loop_
_symmetry_equiv_pos_as_xyz
'x,y,z'
loop_
_atom_site_label
_atom_site_fract_x
_atom_site_fract_y
_atom_site_fract_z
Rb1 0.0000 0.0000 0.0000
Ti1 0.5000 0.5000 0.5000
Tl1 0.0000 0.0000 0.5000
Tl2 0.0000 0.5000 0.0000
Tl3 0.5000 0.0000 0.0000
# * ρ: 5.72 g/cm3
# * E above lowest polymorph: 1.299 eV per atom
# * crystal system: cubic



Entry 14:
# ThAg3Ge2 GGA-PBE relaxed
data_ThAg3Ge2
_symmetry_space_group_name_H-M 'P 1'
_symmetry_Int_Tables_number 1
_cell_length_a 8.3915
_cell_length_b 8.3915
_cell_length_c 7.7765
_cell_angle_alpha 115.98
_cell_angle_beta 115.98
_cell_angle_gamma 30.13
loop_
_symmetry_equiv_pos_as_xyz
'x,y,z'
loop_
_atom_site_label
_atom_site_fract_x
_atom_site_fract_y
_atom_site_fract_z
Th1 0.1419 0.1419 0.0634
Th2 0.8581 0.8581 0.9366
Ag1 0.0524 0.0524 0.3926
Ag2 0.3117 0.3117 0.5536
Ag3 0.3900 0.3900 0.2905
Ag4 0.6100 0.6100 0.7095
Ag5 0.6883 0.6883 0.4464
Ag6 0.9476 0.9476 0.6074
Ge1 0.2095 0.2095 0.7430
Ge2 0.4843 0.4843 0.8298
Ge3 0.5157 0.5157 0.1702
Ge4 0.7905 0.7905 0.2570
# * ρ: 9.50 g/cm3
# * crystal system: monoclinic
# * E_tot: -53.63 eV for the cell shown



Entry 15:
# Er3Mg7In2 GGA-PBE relaxed
data_Er3Mg7In2
_symmetry_space_group_name_H-M 'P 1'
_symmetry_Int_Tables_number 1
_cell_length_a 10.2352
_cell_length_b 10.2352
_cell_length_c 10.2352
_cell_angle_alpha 34.09
_cell_angle_beta 34.09
_cell_angle_gamma 34.09
loop_
_symmetry_equiv_pos_as_xyz
'x,y,z'
loop_
_atom_site_label
_atom_site_fract_x
_atom_site_fract_y
_atom_site_fract_z
Er1 0.0000 0.0000 0.0000
Er2 0.1454 0.1454 0.1454
Er3 0.8546 0.8546 0.8546
Mg1 0.0780 0.5870 0.5870
Mg2 0.4130 0.4130 0.9220
Mg3 0.4130 0.9220 0.4130
Mg4 0.5000 0.5000 0.5000
Mg5 0.5870 0.0780 0.5870
Mg6 0.5870 0.5870 0.0780
Mg7 0.9220 0.4130 0.4130
In1 0.3345 0.3345 0.3345
In2 0.6655 0.6655 0.6655
# * ρ: 4.98 g/cm3
# * crystal system: trigonal
# * E_tot: -31.53 eV for the cell shown



Entry 16:
# La2ErP3 GGA-PBE relaxed
data_La2ErP3
_symmetry_space_group_name_H-M 'P 1'
_symmetry_Int_Tables_number 1
_cell_length_a 9.3335
_cell_length_b 9.3335
_cell_length_c 9.3335
_cell_angle_alpha 154.06
_cell_angle_beta 154.06
_cell_angle_gamma 37.02
loop_
_symmetry_equiv_pos_as_xyz
'x,y,z'
loop_
_atom_site_label
_atom_site_fract_x
_atom_site_fract_y
_atom_site_fract_z
La1 0.1647 0.1647 0.0000
La2 0.8353 0.8353 0.0000
Er1 0.5000 0.5000 0.0000
P1 0.0000 0.0000 0.0000
P2 0.3385 0.3385 0.0000
P3 0.6615 0.6615 0.0000
# * ρ: 5.75 g/cm3
# * crystal system: tetragonal
# * E_tot: -39.91 eV for the cell shown



Entry 17:
# CaHIr2 GGA-PBE relaxed
data_CaHIr2
_symmetry_space_group_name_H-M 'P 1'
_symmetry_Int_Tables_number 1
_cell_length_a 4.4102
_cell_length_b 4.4102
_cell_length_c 4.4102
_cell_angle_alpha 60.00
_cell_angle_beta 60.00
_cell_angle_gamma 60.00
loop_
_symmetry_equiv_pos_as_xyz
'x,y,z'
loop_
_atom_site_label
_atom_site_fract_x
_atom_site_fract_y
_atom_site_fract_z
Ca1 0.0000 0.0000 0.0000
H1 0.5000 0.5000 0.5000
Ir1 0.2500 0.2500 0.2500
Ir2 0.7500 0.7500 0.7500
# * ρ: 11.65 g/cm3
# * E above lowest polymorph: 1.201 eV per atom
# * crystal system: cubic



Entry 18:
# Pr12Nd2Er5 GGA-PBE relaxed
data_Pr12Nd2Er5
_symmetry_space_group_name_H-M 'P 1'
_symmetry_Int_Tables_number 1
_cell_length_a 8.8335
_cell_length_b 8.8335
_cell_length_c 9.5298
_cell_angle_alpha 109.25
_cell_angle_beta 109.25
_cell_angle_gamma 83.75
loop_
_symmetry_equiv_pos_as_xyz
'x,y,z'
loop_
_atom_site_label
_atom_site_fract_x
_atom_site_fract_y
_atom_site_fract_z
Pr1 0.0615 0.5485 0.6990
Pr2 0.0784 0.0784 0.2853
Pr3 0.1109 0.6728 0.0829
Pr4 0.3272 0.8891 0.9171
Pr5 0.3844 0.3844 0.5596
Pr6 0.4515 0.9385 0.3010
Pr7 0.5485 0.0615 0.6990
Pr8 0.6156 0.6156 0.4404
Pr9 0.6728 0.1109 0.0829
Pr10 0.8891 0.3272 0.9171
Pr11 0.9216 0.9216 0.7147
Pr12 0.9385 0.4515 0.3010
Nd1 0.2258 0.7742 0.5000
Nd2 0.7742 0.2258 0.5000
Er1 0.1899 0.1899 0.7343
Er2 0.3043 0.3043 0.1606
Er3 0.5000 0.5000 0.0000
Er4 0.6957 0.6957 0.8394
Er5 0.8101 0.8101 0.2657
# * ρ: 7.05 g/cm3
# * E above lowest polymorph: 0.000 eV per atom
# * crystal system: monoclinic



Entry 19:
# SrCdRe2 GGA-PBE relaxed
data_SrCdRe2
_symmetry_space_group_name_H-M 'P 1'
_symmetry_Int_Tables_number 1
_cell_length_a 10.5476
_cell_length_b 10.5476
_cell_length_c 10.5476
_cell_angle_alpha 154.94
_cell_angle_beta 154.94
_cell_angle_gamma 35.74
loop_
_symmetry_equiv_pos_as_xyz
'x,y,z'
loop_
_atom_site_label
_atom_site_fract_x
_atom_site_fract_y
_atom_site_fract_z
Sr1 0.0000 0.0000 0.0000
Sr2 0.7500 0.2500 0.5000
Cd1 0.2500 0.7500 0.5000
Cd2 0.5000 0.5000 0.0000
Re1 0.2977 0.6250 0.1727
Re2 0.3750 0.5477 0.6727
Re3 0.4523 0.1250 0.8273
Re4 0.8750 0.7023 0.3273
# * ρ: 9.04 g/cm3
# * crystal system: tetragonal
# * E_tot: -46.08 eV for the cell shown



Entry 20:
# Zn2Cu5Pd GGA-PBE relaxed
data_Zn2Cu5Pd
_symmetry_space_group_name_H-M 'P 1'
_symmetry_Int_Tables_number 1
_cell_length_a 5.3521
_cell_length_b 10.6898
_cell_length_c 3.6104
_cell_angle_alpha 90.00
_cell_angle_beta 90.00
_cell_angle_gamma 90.00
loop_
_symmetry_equiv_pos_as_xyz
'x,y,z'
loop_
_atom_site_label
_atom_site_fract_x
_atom_site_fract_y
_atom_site_fract_z
Zn1 0.2465 0.1260 0.0000
Zn2 0.2535 0.6260 0.0000
Zn3 0.7465 0.3740 0.0000
Zn4 0.7535 0.8740 0.0000
Cu1 0.0000 0.5000 0.5000
Cu2 0.0081 0.7463 0.5000
Cu3 0.2396 0.3699 0.0000
Cu4 0.2604 0.8699 0.0000
Cu5 0.4919 0.2463 0.5000
Cu6 0.5000 0.0000 0.5000
Cu7 0.5081 0.7537 0.5000
Cu8 0.7396 0.1301 0.0000
Cu9 0.7604 0.6301 0.0000
Cu10 0.9919 0.2537 0.5000
Pd1 0.0000 0.0000 0.5000
Pd2 0.5000 0.5000 0.5000
# * ρ: 8.92 g/cm3
# * crystal system: orthorhombic
# * E_tot: -58.90 eV for the cell shown



| no. | magnetization (μB per formula unit) |
| --- | --- |
| 1 | 0.00 |
| 2 | 6.55 |
| 3 | 0.00 |
| 4 | 0.00 |
| 5 | 0.74 |
| 6 | 0.00 |
| 7 | 0.00 |
| 8 | 0.41 |
| 9 | 0.00 |
| 10 | 0.00 |
| 11 | 0.00 |
| 12 | 0.00 |
| 13 | 0.00 |
| 14 | 0.00 |
| 15 | 0.00 |
| 16 | 0.00 |
| 17 | 0.00 |
| 18 | 0.00 |
| 19 | 0.00 |
| 20 | 0.00 |